TmSc2Bi: relaxed, PBE-GGA.

abc: 3.3778 3.3778 11.5154
angles: 81.57 81.57 60.00
Closest atoms and distances in Å follow each position.
Element x y z (fractional)
Sc 0.0930 0.0930 0.7211  1 Tm 3.17, 3 Bi 3.18, 6 Sc 3.38
Sc 0.9070 0.9070 0.2789  1 Tm 3.17, 3 Bi 3.18, 6 Sc 3.38
Tm 0.0000 0.0000 0.0000  2 Sc 3.17, 6 Tm 3.38
Bi 0.5000 0.5000 0.5000  6 Sc 3.18, 6 Bi 3.38


YTmSc2Bi4: relaxed, PBE-GGA.

abc: 4.3636 7.5585 7.5563
angles: 109.46 90.00 90.00
Closest atoms and distances in Å follow each position.
Element x y z (fractional)
Y 0.0000 0.0000 0.0000  6 Bi 3.15
Tm 0.5000 0.5000 0.0000  6 Bi 3.13
Sc 0.5000 0.0000 0.5000  6 Bi 3.04
Sc 0.0000 0.5000 0.5000  6 Bi 3.02
Bi 0.5000 0.2564 0.2639  3 Sc 3.02-3.04, 1 Tm 3.13, 2 Y 3.15
Bi 0.5000 0.7436 0.7361  3 Sc 3.02-3.04, 1 Tm 3.13, 2 Y 3.15
Bi 0.0000 0.2476 0.7373  3 Sc 3.02-3.04, 2 Tm 3.13, 1 Y 3.15
Bi 0.0000 0.7524 0.2627  3 Sc 3.02-3.04, 2 Tm 3.13, 1 Y 3.15


Y3Tm2ScBi6: relaxed, PBE-GGA.

abc: 4.4312 8.8641 9.9049
angles: 102.85 102.93 90.00
Closest atoms and distances in Å follow each position.
Element x y z (fractional)
Y 0.5000 0.5000 0.0000  6 Bi 3.15-3.20
Y 0.8320 0.1662 0.6641  6 Bi 3.15-3.19
Y 0.1680 0.8338 0.3359  6 Bi 3.15-3.19
Tm 0.8340 0.6677 0.6680  6 Bi 3.12-3.13
Tm 0.1660 0.3323 0.3320  6 Bi 3.12-3.13
Sc 0.5000 0.0000 0.0000  6 Bi 3.06-3.07
Bi 0.3375 0.9166 0.6749  1 Sc 3.06, 2 Tm 3.12, 3 Y 3.15-3.19
Bi 0.6676 0.5809 0.3352  3 Tm 3.12-3.13, 3 Y 3.15
Bi 0.6625 0.0834 0.3251  1 Sc 3.06, 2 Tm 3.12, 3 Y 3.15-3.19
Bi 0.0001 0.2398 0.0002  2 Sc 3.07, 1 Tm 3.12, 3 Y 3.16-3.20
Bi 0.9999 0.7602 0.9998  2 Sc 3.07, 1 Tm 3.12, 3 Y 3.16-3.20
Bi 0.3324 0.4191 0.6648  3 Tm 3.12-3.13, 3 Y 3.15


YTm2Sc3Bi6: relaxed, PBE-GGA.

abc: 7.5528 7.5528 7.5443
angles: 99.59 99.59 120.02
Closest atoms and distances in Å follow each position.
Element x y z (fractional)
Y 0.0000 0.0000 0.0000  6 Bi 3.15
Tm 0.3330 0.6670 0.0000  6 Bi 3.13
Tm 0.6670 0.3330 0.0000  6 Bi 3.13
Sc 0.1655 0.8345 0.5000  6 Bi 3.03-3.04
Sc 0.8345 0.1655 0.5000  6 Bi 3.03-3.04
Sc 0.5000 0.5000 0.5000  6 Bi 3.02-3.04
Bi 0.9122 0.5766 0.7369  3 Sc 3.03-3.04, 2 Tm 3.13, 1 Y 3.15
Bi 0.7515 0.7515 0.2620  3 Sc 3.02-3.03, 2 Tm 3.13, 1 Y 3.15
Bi 0.0878 0.4234 0.2631  3 Sc 3.03-3.04, 2 Tm 3.13, 1 Y 3.15
Bi 0.5766 0.9122 0.7369  3 Sc 3.03-3.04, 2 Tm 3.13, 1 Y 3.15
Bi 0.2485 0.2485 0.7380  3 Sc 3.02-3.03, 2 Tm 3.13, 1 Y 3.15
Bi 0.4234 0.0878 0.2631  3 Sc 3.03-3.04, 2 Tm 3.13, 1 Y 3.15


Tm2ZrScBi4: relaxed, PBE-GGA.

abc: 4.3303 7.5055 7.5276
angles: 109.27 90.00 90.00
Closest atoms and distances in Å follow each position.
Element x y z (fractional)
Tm 0.5000 0.0000 0.5000  6 Bi 3.11-3.12
Tm 0.0000 0.5000 0.5000  6 Bi 3.10-3.11
Zr 0.0000 0.0000 0.0000  6 Bi 3.03
Sc 0.5000 0.5000 0.0000  6 Bi 3.02
Bi 0.5000 0.2480 0.2403  1 Sc 3.02, 2 Zr 3.03, 3 Tm 3.11
Bi 0.5000 0.7520 0.7597  1 Sc 3.02, 2 Zr 3.03, 3 Tm 3.11
Bi 0.0000 0.2544 0.7606  2 Sc 3.02, 1 Zr 3.03, 3 Tm 3.10-3.12
Bi 0.0000 0.7456 0.2394  2 Sc 3.02, 1 Zr 3.03, 3 Tm 3.10-3.12


ScVBi3: relaxed, PBE-GGA.

abc: 5.5465 5.5465 5.5465
angles: 90.00 90.00 90.00
Closest atoms and distances in Å follow each position.
Element x y z (fractional)
Sc 0.0000 0.0000 0.0000  6 Bi 2.77
Bi 0.0000 0.5000 0.0000  2 Sc 2.77
Bi 0.0000 0.0000 0.5000  2 Sc 2.77
Bi 0.5000 0.0000 0.0000  2 Sc 2.77
V 0.5000 0.5000 0.5000  12 Bi 3.92


ScVBi3: relaxed, PBE-GGA.

abc: 5.3092 5.3092 5.3092
angles: 90.00 90.00 90.00
Closest atoms and distances in Å follow each position.
Element x y z (fractional)
Sc 0.5000 0.5000 0.5000  12 Bi 3.75
Bi 0.0000 0.5000 0.0000  2 V 2.65
Bi 0.0000 0.0000 0.5000  2 V 2.65
Bi 0.5000 0.0000 0.0000  2 V 2.65
V 0.0000 0.0000 0.0000  6 Bi 2.65


Sc3VBi: relaxed, PBE-GGA.

abc: 4.9569 4.9569 4.9569
angles: 90.00 90.00 90.00
Closest atoms and distances in Å follow each position.
Element x y z (fractional)
Sc 0.0000 0.5000 0.0000  2 V 2.48
Sc 0.0000 0.0000 0.5000  2 V 2.48
Sc 0.5000 0.0000 0.0000  2 V 2.48
Bi 0.5000 0.5000 0.5000  12 Sc 3.51
V 0.0000 0.0000 0.0000  6 Sc 2.48


ScV3Bi: relaxed, PBE-GGA.

abc: 4.5898 4.5898 4.5898
angles: 90.00 90.00 90.00
Closest atoms and distances in Å follow each position.
Element x y z (fractional)
Sc 0.0000 0.0000 0.0000  6 V 2.29
Bi 0.5000 0.5000 0.5000  12 V 3.25
V 0.0000 0.5000 0.0000  2 Sc 2.29
V 0.0000 0.0000 0.5000  2 Sc 2.29
V 0.5000 0.0000 0.0000  2 Sc 2.29


Sc2VBi2: relaxed, PBE-GGA.

abc: 7.6409 7.6409 4.1184
angles: 90.00 90.00 90.00
Closest atoms and distances in Å follow each position.
Element x y z (fractional)
Sc 0.1526 0.6526 0.5000  6 Bi 2.93-3.12
Sc 0.6526 0.8474 0.5000  6 Bi 2.93-3.12
Sc 0.8474 0.3474 0.5000  6 Bi 2.93-3.12
Sc 0.3474 0.1526 0.5000  6 Bi 2.93-3.12
Bi 0.3459 0.8459 0.0000  2 V 2.89, 6 Sc 2.93-3.12
Bi 0.8459 0.6541 0.0000  2 V 2.89, 6 Sc 2.93-3.12
Bi 0.6541 0.1541 0.0000  2 V 2.89, 6 Sc 2.93-3.12
Bi 0.1541 0.3459 0.0000  2 V 2.89, 6 Sc 2.93-3.12
V 0.0000 0.0000 0.0000  4 Bi 2.89
V 0.5000 0.5000 0.0000  4 Bi 2.89


ScV3Bi: relaxed, PBE-GGA.

abc: 5.1106 5.1106 5.1106
angles: 90.00 90.00 90.00
Closest atoms and distances in Å follow each position.
Element x y z (fractional)
Sc 0.5000 0.5000 0.5000  12 V 3.61
Bi 0.0000 0.0000 0.0000  6 V 2.56
V 0.0000 0.5000 0.0000  2 Bi 2.56
V 0.0000 0.0000 0.5000  2 Bi 2.56
V 0.5000 0.0000 0.0000  2 Bi 2.56


ZrScV2Bi: relaxed, PBE-GGA.

abc: 4.9479 5.2323 4.9479
angles: 90.00 90.00 90.00
Closest atoms and distances in Å follow each position.
Element x y z (fractional)
Sc 0.0000 0.5000 0.0000  2 Bi 2.62
Bi 0.0000 0.0000 0.0000  4 V 2.47, 2 Sc 2.62
Zr 0.5000 0.5000 0.5000  4 Sc 3.50, 8 V 3.60
V 0.0000 0.0000 0.5000  2 Bi 2.47
V 0.5000 0.0000 0.0000  2 Bi 2.47


Number 1: ΔE_f 0.154 eV/atom. Number 2: ΔE_f -0.746 eV/atom. Number 3: ΔE_f -0.815 eV/atom. Number 4: ΔE_f -0.737 eV/atom. Number 5: ΔE_f -0.603 eV/atom. Number 6: ΔE_f 0.684 eV/atom. Number 7: ΔE_f 0.419 eV/atom. Number 8: ΔE_f 0.297 eV/atom. Number 9: ΔE_f 1.449 eV/atom. Number 10: ΔE_f -0.165 eV/atom. Number 11: ΔE_f 1.458 eV/atom. Number 12: ΔE_f 1.356 eV/atom.